Below is a relaxed structure of Zn3Ni2Ag, with properties calculated at the PBE level.

Lattice parameters (Å, degrees): 2.8262 2.8262 10.1465 90.00 90.00 90.00
Positions (direct):
Zn  0.0000  0.0000  0.0000
Zn  0.0000  0.0000  0.3005
Zn  0.0000  0.0000  0.6995
Ni  0.5000  0.5000  0.1503
Ni  0.5000  0.5000  0.8497
Ag  0.5000  0.5000  0.5000

Results
Theoretical density in Mg/m³: 8.6
ΔE_f in meV/atom: -166.0
DOS(E_F) in states/eV per atom: 0.5122
Magnetic moment in μB/cell: 0.00
E in eV/cell: -19.232